No. 1
Compound: Sr2ZrAlIr
Source: Alexandria via LeMat-Bulk
Functional: SCAN
Structure: single point on PBEsol structure

Results
total DFT energy (no corrections) = -30.47 eV per atom
formation energy from the elements = 0.3451 eV per atom
D(E_F) = 6.68 states/eV per cell

The structure in CIF format:
```
data_Sr2ZrAlIr
_space_group_name_H-M_alt 'P 1'
_space_group_IT_number 1
_cell_length_a 4.7416
_cell_length_b 5.6720
_cell_length_c 5.6720
_cell_angle_alpha 90.00
_cell_angle_beta 90.00
_cell_angle_gamma 90.00
loop_
_space_group_symop_operation_xyz
'x,y,z'
loop_
_atom_site_label
_atom_site_type_symbol
_atom_site_fract_x
_atom_site_fract_y
_atom_site_fract_z
Zr1 Zr 0.5000 0.5000 0.5000
Sr1 Sr 0.0000 0.0000 0.5000
Sr2 Sr 0.0000 0.5000 0.0000
Ir1 Ir 0.0000 0.0000 0.0000
Al1 Al 0.5000 0.0000 0.0000
```



No. 2
Compound: KCa10P7O28
Source: Alexandria via LeMat-Bulk
Functional: SCAN
Structure: single point on PBEsol structure

Results
total DFT energy (no corrections) = -10.83 eV per atom
D(E_F) = 0.00 states/eV per cell
formation energy without anion corrections = -3.169 eV/atom

The structure in CIF format:
```
data_KCa10P7O28
_space_group_name_H-M_alt 'P 1'
_space_group_IT_number 1
_cell_length_a 10.4608
_cell_length_b 10.4608
_cell_length_c 13.7448
_cell_angle_alpha 67.63
_cell_angle_beta 67.63
_cell_angle_gamma 60.00
loop_
_space_group_symop_operation_xyz
'x,y,z'
loop_
_atom_site_label
_atom_site_type_symbol
_atom_site_fract_x
_atom_site_fract_y
_atom_site_fract_z
O1 O 0.7062 0.9709 0.0592
O2 O 0.0116 0.7343 0.5212
O3 O 0.2370 0.7556 0.8751
O4 O 0.9564 0.2701 0.2664
O5 O 0.2588 0.9774 0.6354
O6 O 0.2617 0.5053 0.5310
O7 O 0.1769 0.1769 0.4692
O8 O 0.7556 0.1322 0.8751
O9 O 0.7617 0.2020 0.0310
O10 O 0.2343 0.5116 0.0212
O11 O 0.4564 0.0071 0.7664
O12 O 0.2203 0.0408 0.2478
O13 O 0.7701 0.4564 0.7664
O14 O 0.2020 0.0053 0.0310
O15 O 0.7329 0.0116 0.5212
O16 O 0.5408 0.7203 0.7478
O17 O 0.5116 0.2329 0.0212
O18 O 0.6322 0.2556 0.3751
O19 O 0.0071 0.7701 0.7664
O20 O 0.5567 0.5302 0.9254
O21 O 0.7370 0.6322 0.3751
O22 O 0.4774 0.7588 0.1354
O23 O 0.9912 0.5408 0.7478
O24 O 0.0153 0.7293 0.2705
O25 O 0.7203 0.9912 0.7478
O26 O 0.7020 0.2617 0.5310
O27 O 0.2636 0.7062 0.0592
O28 O 0.9848 0.0153 0.2705
O29 O 0.6769 0.6769 0.9692
O30 O 0.2329 0.2343 0.0212
O31 O 0.6284 0.4774 0.1354
O32 O 0.2062 0.7636 0.5592
O33 O 0.7343 0.7329 0.5212
O34 O 0.0302 0.0567 0.4254
O35 O 0.2701 0.5071 0.2664
O36 O 0.9709 0.2636 0.0592
O37 O 0.1284 0.2588 0.6354
O38 O 0.0408 0.4912 0.2478
O39 O 0.9877 0.5567 0.9254
O40 O 0.4912 0.2203 0.2478
O41 O 0.2293 0.5153 0.7705
O42 O 0.7588 0.6284 0.1354
O43 O 0.5071 0.9564 0.2664
O44 O 0.9774 0.1284 0.6354
O45 O 0.7293 0.9848 0.2705
O46 O 0.0053 0.7617 0.0310
O47 O 0.5302 0.9877 0.9254
O48 O 0.2556 0.7370 0.3751
O49 O 0.4848 0.2293 0.7705
O50 O 0.7636 0.4709 0.5592
O51 O 0.0567 0.4877 0.4254
O52 O 0.1322 0.2370 0.8751
O53 O 0.4877 0.0302 0.4254
O54 O 0.5053 0.7020 0.5310
O55 O 0.5153 0.4848 0.7705
O56 O 0.4709 0.2062 0.5592
Ca1 Ca 0.3670 0.3670 0.8989
Ca2 Ca 0.8140 0.7749 0.1981
Ca3 Ca 0.7749 0.2130 0.1981
Ca4 Ca 0.8400 0.4312 0.9203
Ca5 Ca 0.0245 0.4395 0.1040
Ca6 Ca 0.7130 0.2749 0.6981
Ca7 Ca 0.8085 0.8400 0.9203
Ca8 Ca 0.9321 0.9395 0.6040
Ca9 Ca 0.3140 0.7130 0.6981
Ca10 Ca 0.8670 0.8670 0.3989
Ca11 Ca 0.9395 0.5245 0.6040
Ca12 Ca 0.4395 0.4321 0.1040
Ca13 Ca 0.5245 0.9321 0.6040
Ca14 Ca 0.3085 0.9312 0.4203
Ca15 Ca 0.3400 0.3085 0.4203
Ca16 Ca 0.2130 0.8140 0.1981
Ca17 Ca 0.4312 0.8085 0.9203
Ca18 Ca 0.4321 0.0245 0.1040
Ca19 Ca 0.9312 0.3400 0.4203
Ca20 Ca 0.2749 0.3140 0.6981
K1 K 0.5492 0.5492 0.3525
K2 K 0.0492 0.0492 0.8525
P1 P 0.6800 0.6367 0.4959
P2 P 0.6350 0.6350 0.0950
P3 P 0.0531 0.5965 0.8016
P4 P 0.6874 0.1367 0.9959
P5 P 0.5487 0.0531 0.8016
P6 P 0.0487 0.0965 0.3016
P7 P 0.5965 0.5487 0.8016
P8 P 0.1350 0.1350 0.5950
P9 P 0.1800 0.6874 0.9959
P10 P 0.1367 0.1800 0.9959
P11 P 0.6367 0.1874 0.4959
P12 P 0.1874 0.6800 0.4959
P13 P 0.0965 0.5531 0.3016
P14 P 0.5531 0.0487 0.3016
```



No. 3
Compound: Li2LaSc
Source: Alexandria via LeMat-Bulk
Functional: SCAN
Structure: single point on PBEsol structure

Results
total DFT energy (no corrections) = -15.44 eV per atom
formation energy from the elements = 0.0944 eV per atom
D(E_F) = 2.95 states/eV per cell
excess energy over the best structure of this formula in the dataset = 0 kJ/mol of formula units

The structure in CIF format:
```
data_Li2LaSc
_space_group_name_H-M_alt 'P 1'
_space_group_IT_number 1
_cell_length_a 3.5378
_cell_length_b 3.5378
_cell_length_c 7.7488
_cell_angle_alpha 90.00
_cell_angle_beta 90.00
_cell_angle_gamma 90.00
loop_
_space_group_symop_operation_xyz
'x,y,z'
loop_
_atom_site_label
_atom_site_type_symbol
_atom_site_fract_x
_atom_site_fract_y
_atom_site_fract_z
La1 La 0.5000 0.5000 0.7565
Li1 Li 0.5000 0.5000 0.2286
Li2 Li 0.0000 0.0000 0.0450
Sc1 Sc 0.0000 0.0000 0.4699
```



Copy entry 1 word for word.
Compound: Sr2ZrAlIr
Source: Alexandria via LeMat-Bulk
Functional: SCAN
Structure: single point on PBEsol structure

Results
total DFT energy (no corrections) = -30.47 eV per atom
formation energy from the elements = 0.3451 eV per atom
D(E_F) = 6.68 states/eV per cell

The structure in CIF format:
```
data_Sr2ZrAlIr
_space_group_name_H-M_alt 'P 1'
_space_group_IT_number 1
_cell_length_a 4.7416
_cell_length_b 5.6720
_cell_length_c 5.6720
_cell_angle_alpha 90.00
_cell_angle_beta 90.00
_cell_angle_gamma 90.00
loop_
_space_group_symop_operation_xyz
'x,y,z'
loop_
_atom_site_label
_atom_site_type_symbol
_atom_site_fract_x
_atom_site_fract_y
_atom_site_fract_z
Zr1 Zr 0.5000 0.5000 0.5000
Sr1 Sr 0.0000 0.0000 0.5000
Sr2 Sr 0.0000 0.5000 0.0000
Ir1 Ir 0.0000 0.0000 0.0000
Al1 Al 0.5000 0.0000 0.0000
```



Look up the D(E_F) of the second one.
0.00 states/eV per cell



Which of these has the lowest D(E_F)?
KCa10P7O28



Among the records above, which one has the lowest total DFT energy (no corrections)?
Sr2ZrAlIr